A plane-wave DFT calculation with meta-GGA SCAN was carried out for a crystal of Co2ReSe relaxed with PBEsol.

```
Co2ReSe
1.0
-2.834 1.361 2.670
0.191 -1.128 3.964
1.040 2.762 2.883
Co Se Re
2 1 1
direct
0.000 0.000 0.000 Co
0.750 0.750 0.750 Co
0.250 0.250 0.250 Se
0.500 0.500 0.500 Re
```

The total energy is -123.8 eV for the cell shown. The calculation puts the energy relative to the elements, uncorrected at 488 meV/atom. As for the volume: 12.410 Å³/atom. The mass density comes out at 12.813 Mg/m³.

=====

A plane-wave DFT calculation with meta-GGA SCAN was carried out for a crystal of CoRe4Si relaxed with PBEsol.

```
CoRe4Si
1.0
-1.828 -4.085 -2.374
2.831 -4.184 -0.385
-1.221 -4.138 2.656
Re Co Si
4 1 1
direct
0.625 0.625 0.625 Re
0.625 0.625 0.124 Re
0.124 0.625 0.625 Re
0.625 0.124 0.625 Re
0.000 0.000 0.000 Co
0.250 0.250 0.250 Si
```

The total energy is -307.0 eV for the cell shown. The calculation puts the energy relative to the elements, uncorrected at 779 meV/atom. As for the volume: 15.325 Å³/atom. The mass density comes out at 15.023 Mg/m³.

=====

A plane-wave DFT calculation with meta-GGA SCAN was carried out for a crystal of Co2ReSi relaxed with PBEsol.

```
Co2ReSi
1.0
3.608 0.000 0.000
0.000 3.608 0.000
-1.804 -1.804 3.527
Re Si Co
1 1 2
direct
0.500 0.500 0.000 Re
0.250 0.750 0.500 Si
0.750 0.250 0.500 Co
0.000 0.000 0.000 Co
```

The total energy is -115.7 eV for the cell shown. The calculation puts the energy relative to the elements, uncorrected at 5 meV/atom. As for the volume: 11.477 Å³/atom. The mass density comes out at 12.015 Mg/m³.

=====

A plane-wave DFT calculation with meta-GGA SCAN was carried out for a crystal of CoReSi relaxed with PBEsol.

```
CoReSi
1.0
2.680 0.000 0.000
-1.340 2.321 0.000
0.000 0.000 5.925
Re Co Si
1 1 1
direct
0.333 0.667 0.672 Re
0.000 0.000 0.016 Co
0.667 0.333 0.312 Si
```

The total energy is -98.4 eV for the cell shown. The calculation puts the energy relative to the elements, uncorrected at -4 meV/atom. As for the volume: 12.288 Å³/atom. The mass density comes out at 12.308 Mg/m³.

=====

A plane-wave DFT calculation with meta-GGA SCAN was carried out for a crystal of ZnCoRe2Si relaxed with PBEsol.

```
ZnCoRe2Si
1.0
4.045 0.000 0.000
0.000 4.434 0.000
0.000 0.000 4.434
Zn Si Re Co
1 1 2 1
direct
0.500 0.500 0.500 Zn
0.500 0.000 0.000 Si
0.000 0.000 0.500 Re
0.000 0.500 0.000 Re
0.000 0.000 0.000 Co
```

The total energy is -176.2 eV for the cell shown. The calculation puts the energy relative to the elements, uncorrected at 1372 meV/atom. As for the volume: 15.906 Å³/atom. The mass density comes out at 10.958 Mg/m³.

=====

A plane-wave DFT calculation with meta-GGA SCAN was carried out for a crystal of SrCoRe2 relaxed with PBEsol.

```
SrCoRe2
1.0
3.698 0.000 0.000
0.000 3.698 0.000
0.000 0.000 4.942
Sr Co Re
1 1 2
direct
0.500 0.500 0.500 Sr
0.000 0.000 0.500 Co
0.500 0.000 0.000 Re
0.000 0.500 0.000 Re
```

The total energy is -176.9 eV for the cell shown. The formation energy is 1.216 eV per atom. As for the volume: 16.897 Å³/atom. The mass density comes out at 12.750 Mg/m³.

=====

A plane-wave DFT calculation with meta-GGA SCAN was carried out for a crystal of SrCo2Re relaxed with PBEsol.

```
SrCo2Re
1.0
-3.574 -0.297 -1.092
0.034 -3.644 0.879
0.449 2.937 4.166
Co Sr Re
2 1 1
direct
0.000 0.000 0.000 Co
0.750 0.250 0.500 Co
0.250 0.750 0.500 Sr
0.500 0.500 0.000 Re
```

The total energy is -122.7 eV for the cell shown. The formation energy is 1.331 eV per atom. As for the volume: 15.380 Å³/atom. The mass density comes out at 10.573 Mg/m³.

=====

A plane-wave DFT calculation with meta-GGA SCAN was carried out for a crystal of SrCoRe relaxed with PBEsol.

```
SrCoRe
1.0
-1.038 -1.899 1.731
-0.777 -2.124 -2.796
5.977 -0.385 0.945
Co Sr Re
1 1 1
direct
0.955 0.955 0.910 Co
0.664 0.664 0.328 Sr
0.381 0.381 0.763 Re
```

The total energy is -108.7 eV for the cell shown. The formation energy is 0.673 eV per atom. As for the volume: 18.676 Å³/atom. The mass density comes out at 9.862 Mg/m³.

=====

A plane-wave DFT calculation with meta-GGA SCAN was carried out for a crystal of SrCo2Re relaxed with PBEsol.

```
SrCo2Re
1.0
2.839 0.000 0.000
0.000 3.078 0.000
0.000 0.000 7.367
Co Sr Re
2 1 1
direct
0.000 0.000 0.085 Co
0.500 0.500 0.231 Co
0.500 0.500 0.763 Sr
0.000 0.000 0.421 Re
```

The total energy is -125.3 eV for the cell shown. The formation energy is 0.678 eV per atom. As for the volume: 16.090 Å³/atom. The mass density comes out at 10.106 Mg/m³.

=====

A plane-wave DFT calculation with meta-GGA SCAN was carried out for a crystal of SrCoRe2 relaxed with PBEsol.

```
SrCoRe2
1.0
-1.880 0.640 -1.734
3.210 -0.569 -3.692
-2.054 -5.223 2.304
Re Co Sr
2 1 1
direct
0.462 0.962 0.925 Re
0.551 0.551 0.101 Re
0.241 0.741 0.482 Co
0.246 0.246 0.493 Sr
```

The total energy is -177.7 eV for the cell shown. The formation energy is 1.010 eV per atom. As for the volume: 17.481 Å³/atom. The mass density comes out at 12.324 Mg/m³.

=====

A plane-wave DFT calculation with meta-GGA SCAN was carried out for a crystal of SrCoRe2 relaxed with PBEsol.

```
SrCoRe2
1.0
-1.189 2.674 0.999
0.711 -0.771 2.909
6.613 3.226 -0.761
Re Co Sr
2 1 1
direct
0.000 0.000 0.663 Re
0.000 0.000 0.337 Re
0.500 0.500 0.500 Co
0.500 0.500 0.000 Sr
```

The total energy is -178.7 eV for the cell shown. The formation energy is 0.777 eV per atom. As for the volume: 17.683 Å³/atom. The mass density comes out at 12.183 Mg/m³.

=====

A plane-wave DFT calculation with meta-GGA SCAN was carried out for a crystal of Ta2CoRe relaxed with PBEsol.

```
Ta2CoRe
1.0
3.245 0.000 0.000
0.000 4.183 0.000
0.000 0.000 4.423
Ta Re Co
2 1 1
direct
0.500 0.000 0.500 Ta
0.000 0.000 0.000 Ta
0.000 0.500 0.500 Re
0.500 0.500 0.000 Co
```

The total energy is -221.9 eV for the cell shown. The formation energy is -0.077 eV per atom. As for the volume: 15.009 Å³/atom. The mass density comes out at 16.790 Mg/m³.

=====

Number 1: DOS(E_F) 1.6 states/eV per cell. Number 2: DOS(E_F) 3.6 states/eV per cell. Number 3: DOS(E_F) 3.9 states/eV per cell. Number 4: DOS(E_F) 1.6 states/eV per cell. Number 5: DOS(E_F) 4.4 states/eV per cell. Number 6: DOS(E_F) 3.2 states/eV per cell. Number 7: DOS(E_F) 3.7 states/eV per cell. Number 8: DOS(E_F) 2.8 states/eV per cell. Number 9: DOS(E_F) 3.4 states/eV per cell. Number 10: DOS(E_F) 3.4 states/eV per cell. Number 11: DOS(E_F) 2.9 states/eV per cell. Number 12: DOS(E_F) 2.4 states/eV per cell.